1.
Below is an optimized crystal structure of HfP2NCl, with properties calculated at the PBE level.

## Properties
The excess energy over the best structure of this formula in the dataset is 496 meV/atom. The density of states at the Fermi level comes out at 3.20 states/eV/f.u. The value obtained for the raw formation energy is 0.94 eV/atom. The value obtained for the energy is -5.245 eV/atom.

Unit cell a=5.041 b=5.041 c=5.018 alpha=90.00 beta=90.00 gamma=90.00
Sites, in units of the cell vectors:
Hf (0.000, 0.000, 0.000)
P (0.000, 0.500, 0.000)
P (0.500, 0.000, 0.000)
N (0.500, 0.500, 0.500)
Cl (0.000, 0.000, 0.500)

---

2.
Below is an optimized crystal structure of CuTeF3, with properties calculated at the PBE level.

## Properties
The density of states at the Fermi level comes out at 3.02 states/eV/f.u. The value obtained for the raw formation energy is -0.71 eV/atom. The value obtained for the energy is -3.278 eV/atom.

Unit cell a=4.540 b=4.540 c=4.540 alpha=90.00 beta=90.00 gamma=90.00
Sites, in units of the cell vectors:
Cu (0.000, 0.000, 0.000)
Te (0.500, 0.500, 0.500)
F (0.000, 0.500, 0.500)
F (0.500, 0.000, 0.500)
F (0.500, 0.500, 0.000)

---

3.
Below is an optimized crystal structure of CrP2Au, with properties calculated at the PBE level.

## Properties
The excess energy over the best structure of this formula in the dataset is 531 meV/atom. For the formation energy, the calculation gives 545 meV per atom. The density of states at the Fermi level comes out at 2.35 states/eV/f.u. The value obtained for the energy is -5.385 eV/atom.

Unit cell a=4.475 b=4.475 c=4.475 alpha=60.00 beta=60.00 gamma=60.00
Sites, in units of the cell vectors:
Cr (0.000, 0.000, 0.000)
P (0.500, 0.500, 0.500)
P (0.750, 0.750, 0.750)
Au (0.250, 0.250, 0.250)

---

4.
Below is an optimized crystal structure of Rb2LaTlS4, with properties calculated at the PBE level.

## Properties
The value obtained for the raw formation energy is -1.15 eV/atom. The value obtained for the energy is -4.363 eV/atom.

Unit cell a=8.721 b=8.721 c=8.671 alpha=117.98 beta=117.98 gamma=93.20
Sites, in units of the cell vectors:
Rb (0.000, 0.000, 0.000)
Rb (0.000, 0.000, 0.500)
Rb (0.000, 0.500, 0.000)
Rb (0.500, 0.000, 0.500)
La (0.000, 0.500, 0.500)
La (0.500, 0.000, 0.000)
Tl (0.500, 0.500, 0.000)
Tl (0.500, 0.500, 0.500)
S (0.251, 0.734, 0.958)
S (0.266, 0.749, 0.542)
S (0.282, 0.304, 0.511)
S (0.304, 0.282, 0.011)
S (0.696, 0.718, 0.989)
S (0.718, 0.696, 0.489)
S (0.734, 0.251, 0.458)
S (0.749, 0.266, 0.042)

---

5.
Below is an optimized crystal structure of Li2FeRh, with properties calculated at the PBE level.

## Properties
For the formation energy, the calculation gives 110 meV per atom. The density of states at the Fermi level comes out at 3.11 states/eV/f.u. The value obtained for the energy is -4.800 eV/atom.

Unit cell a=4.868 b=4.868 c=2.570 alpha=90.00 beta=90.00 gamma=118.26
Sites, in units of the cell vectors:
Li (0.000, 0.500, 0.000)
Li (0.500, 0.000, 0.000)
Fe (0.000, 0.000, 0.500)
Rh (0.500, 0.500, 0.500)

---

6.
Below is an optimized crystal structure of TbSnBi2, with properties calculated at the PBE level.

## Properties
The excess energy over the best structure of this formula in the dataset is 0 meV/atom. For the formation energy, the calculation gives -364 meV per atom. The density of states at the Fermi level comes out at 3.32 states/eV/f.u. The value obtained for the energy is -4.463 eV/atom.

Unit cell a=4.254 b=4.254 c=6.565 alpha=90.00 beta=90.00 gamma=90.00
Sites, in units of the cell vectors:
Tb (0.000, 0.000, 0.000)
Sn (0.000, 0.000, 0.500)
Bi (0.500, 0.500, 0.240)
Bi (0.500, 0.500, 0.760)

---

7.
Below is an optimized crystal structure of ScZnFeRh2, with properties calculated at the PBE level.

## Properties
For the formation energy, the calculation gives 925 meV per atom. The density of states at the Fermi level comes out at 4.08 states/eV/f.u. The value obtained for the energy is -5.230 eV/atom.

Unit cell a=4.632 b=4.632 c=4.441 alpha=90.00 beta=90.00 gamma=90.00
Sites, in units of the cell vectors:
Sc (0.000, 0.000, 0.000)
Zn (0.500, 0.500, 0.500)
Fe (0.000, 0.000, 0.500)
Rh (0.000, 0.500, 0.000)
Rh (0.500, 0.000, 0.000)

---

8.
Below is an optimized crystal structure of CeNdCo10, with properties calculated at the PBE level.

## Properties
For the formation energy, the calculation gives -78 meV per atom. The density of states at the Fermi level comes out at 18.07 states/eV/f.u. The value obtained for the energy is -6.891 eV/atom.

Unit cell a=3.987 b=4.922 c=8.595 alpha=90.00 beta=90.00 gamma=90.00
Sites, in units of the cell vectors:
Ce (0.000, 0.000, 0.000)
Nd (0.000, 0.500, 0.500)
Co (0.000, 0.000, 0.310)
Co (0.000, 0.000, 0.690)
Co (0.000, 0.500, 0.160)
Co (0.000, 0.500, 0.840)
Co (0.500, 0.000, 0.500)
Co (0.500, 0.254, 0.252)
Co (0.500, 0.254, 0.748)
Co (0.500, 0.500, 0.000)
Co (0.500, 0.746, 0.252)
Co (0.500, 0.746, 0.748)

---

9.
Below is an optimized crystal structure of Nd2CuSe3, with properties calculated at the PBE level.

## Properties
The density of states at the Fermi level comes out at 1.40 states/eV/f.u. The value obtained for the raw formation energy is -1.38 eV/atom. The value obtained for the energy is -5.399 eV/atom.

Unit cell a=8.773 b=8.773 c=8.773 alpha=153.93 beta=150.02 gamma=40.14
Sites, in units of the cell vectors:
Nd (0.139, 0.139, 0.000)
Nd (0.861, 0.861, 0.000)
Cu (0.500, 0.500, 0.000)
Se (0.000, 0.500, 0.500)
Se (0.324, 0.324, 0.000)
Se (0.676, 0.676, 0.000)

---

10.
Below is an optimized crystal structure of TlMoCl, with properties calculated at the PBE level.

## Properties
The excess energy over the best structure of this formula in the dataset is 751 meV/atom. The density of states at the Fermi level comes out at 2.87 states/eV/f.u. The value obtained for the raw formation energy is 0.91 eV/atom. The value obtained for the energy is -4.101 eV/atom.

Unit cell a=4.794 b=4.794 c=4.794 alpha=60.00 beta=60.00 gamma=60.00
Sites, in units of the cell vectors:
Tl (0.000, 0.000, 0.000)
Mo (0.250, 0.250, 0.250)
Cl (0.500, 0.500, 0.500)

---

11.
Below is an optimized crystal structure of Li3Ti2Pd8, with properties calculated at the PBE level.

## Properties
For the formation energy, the calculation gives -360 meV per atom. The density of states at the Fermi level comes out at 6.43 states/eV/f.u. The value obtained for the energy is -5.212 eV/atom.

Unit cell a=7.679 b=7.679 c=4.383 alpha=90.00 beta=90.00 gamma=128.57
Sites, in units of the cell vectors:
Li (0.000, 0.000, 0.000)
Li (0.309, 0.309, 0.500)
Li (0.691, 0.691, 0.500)
Ti (0.227, 0.773, 0.000)
Ti (0.773, 0.227, 0.000)
Pd (0.116, 0.884, 0.500)
Pd (0.174, 0.398, 0.000)
Pd (0.327, 0.673, 0.500)
Pd (0.398, 0.174, 0.000)
Pd (0.602, 0.826, 0.000)
Pd (0.673, 0.327, 0.500)
Pd (0.826, 0.602, 0.000)
Pd (0.884, 0.116, 0.500)

---

12.
Below is an optimized crystal structure of Li2CdHgO4, with properties calculated at the PBE level.

## Properties
The density of states at the Fermi level comes out at 3.65 states/eV/f.u. The value obtained for the raw formation energy is -0.85 eV/atom. The value obtained for the energy is -3.957 eV/atom.

Unit cell a=5.530 b=3.265 c=5.810 alpha=90.00 beta=113.06 gamma=90.00
Sites, in units of the cell vectors:
Li (0.000, 0.000, 0.000)
Li (0.000, 0.500, 0.500)
Cd (0.500, 0.000, 0.500)
Hg (0.500, 0.500, 0.000)
O (0.229, 0.500, 0.294)
O (0.245, 0.000, 0.793)
O (0.755, 0.000, 0.207)
O (0.771, 0.500, 0.706)